Here is a relaxed Sm2Pd4Rh crystal from Alexandria via LeMat-Bulk. Energies are from PBE-GGA.

N(E_F) = 4.637 states/eV/cell
V = 19.95 A^3/atom
total energy = -6.018 eV per atom

a = 5.706 Å, b = 5.706 Å, c = 5.888 Å
α = 118.98°, β = 118.98°, γ = 90.00°
Element x y z (fractional)
Sm  0.286  0.786  0.571
Sm  0.786  0.286  0.571
Pd  0.786  0.786  0.072
Pd  0.286  0.286  0.071
Pd  0.786  0.286  0.071
Pd  0.286  0.786  0.071
Rh  0.786  0.786  0.572

=====

Here is a relaxed Sm6Pd5Rh crystal from Alexandria via LeMat-Bulk. Energies are from PBE-GGA.

N(E_F) = 7.118 states/eV/cell
V = 22.67 A^3/atom
total energy = -5.920 eV per atom

a = 5.080 Å, b = 7.041 Å, c = 8.761 Å
α = 66.31°, β = 73.04°, γ = 90.00°
Element x y z (fractional)
Rh  0.000  0.000  0.000
Pd  0.668  0.169  0.663
Pd  0.332  0.333  0.335
Pd  0.000  0.500  0.000
Pd  0.668  0.667  0.665
Pd  0.332  0.831  0.337
Sm  0.836  0.588  0.328
Sm  0.836  0.084  0.328
Sm  0.500  0.755  0.000
Sm  0.500  0.245  0.000
Sm  0.164  0.916  0.672
Sm  0.164  0.412  0.672

=====

Here is a relaxed Sm3PdRh crystal from Alexandria via LeMat-Bulk. Energies are from PBE-GGA.

N(E_F) = 15.759 states/eV/cell
V = 26.16 A^3/atom
total energy = -6.006 eV per atom

a = 8.362 Å, b = 7.374 Å, c = 8.846 Å
α = 90.00°, β = 73.58°, γ = 90.00°
Element x y z (fractional)
Sm  0.390  0.152  0.784
Sm  0.610  0.848  0.216
Sm  0.110  0.652  0.216
Sm  0.890  0.348  0.784
Sm  0.501  0.682  0.853
Sm  0.499  0.318  0.147
Sm  0.999  0.182  0.147
Sm  0.001  0.818  0.853
Sm  0.782  0.995  0.547
Sm  0.218  0.005  0.453
Sm  0.718  0.495  0.453
Sm  0.282  0.505  0.547
Pd  0.681  0.037  0.911
Pd  0.319  0.963  0.089
Pd  0.819  0.537  0.089
Pd  0.181  0.463  0.911
Rh  0.478  0.812  0.562
Rh  0.522  0.188  0.438
Rh  0.022  0.312  0.438
Rh  0.978  0.688  0.562

=====

Here is a relaxed Sm7Pd2Rh2 crystal from Alexandria via LeMat-Bulk. Energies are from PBE-GGA.

N(E_F) = 11.415 states/eV/cell
V = 26.48 A^3/atom
total energy = -5.872 eV per atom

a = 3.921 Å, b = 9.313 Å, c = 9.313 Å
α = 62.12°, β = 77.85°, γ = 77.85°
Element x y z (fractional)
Sm  0.811  0.089  0.289
Sm  0.871  0.386  0.872
Sm  0.500  0.997  0.003
Sm  0.617  0.490  0.277
Sm  0.383  0.723  0.510
Sm  0.189  0.711  0.911
Sm  0.129  0.128  0.614
Pd  0.000  0.765  0.235
Pd  0.500  0.357  0.643
Rh  0.741  0.863  0.655
Rh  0.259  0.345  0.137

=====

One value per record, in order, for formation energy: -652.4, -784.6, -665.4, -588.0 meV per atom.